# Ca2InTe (PBEsol, relaxed)
# - N(E_F) (states/eV/f.u.) = 2.30
# - formation energy (no corrections) (eV per atom) = -0.74
# - mass density (kg/m³) = 4804
# - magnetic moment (μB per formula unit) = 0.00
# - E (eV/atom) = -3.435
data_Ca2InTe
_chemical_formula_sum 'Ca2 In1 Te1'
_space_group_name_H-M_alt 'P 1'
_space_group_IT_number 1
_cell_length_a 5.019
_cell_length_b 5.019
_cell_length_c 5.674
_cell_angle_alpha 116.25
_cell_angle_beta 116.25
_cell_angle_gamma 90.00
loop_
_space_group_symop_operation_xyz
'x,y,z'
loop_
_atom_site_label
_atom_site_type_symbol
_atom_site_fract_x
_atom_site_fract_y
_atom_site_fract_z
Ca1 Ca 0.750 0.250 0.500
Ca2 Ca 0.250 0.750 0.500
Te1 Te 0.000 0.000 0.000
In1 In 0.500 0.500 0.000

---

# CaMn2W (PBEsol, relaxed)
# - formation enthalpy at 0 K (eV per formula unit) = 3.19
# - N(E_F) (states/eV/f.u.) = 5.13
# - mass density (kg/m³) = 8312
# - magnetic moment (μB per formula unit) = 3.66
# - excess energy over the best structure of this formula in the dataset (meV/atom) = 333
# - E (eV/atom) = -8.067
data_CaMn2W
_chemical_formula_sum 'Ca1 Mn2 W1'
_space_group_name_H-M_alt 'P 1'
_space_group_IT_number 1
_cell_length_a 3.002
_cell_length_b 3.002
_cell_length_c 8.715
_cell_angle_alpha 80.08
_cell_angle_beta 80.08
_cell_angle_gamma 60.00
loop_
_space_group_symop_operation_xyz
'x,y,z'
loop_
_atom_site_label
_atom_site_type_symbol
_atom_site_fract_x
_atom_site_fract_y
_atom_site_fract_z
Ca1 Ca 0.000 0.000 0.000
Mn1 Mn 0.236 0.236 0.292
Mn2 Mn 0.764 0.764 0.708
W1 W 0.500 0.500 0.500

---

# KLiFe2 (PBEsol, relaxed)
# - formation enthalpy at 0 K (eV per formula unit) = 4.53
# - N(E_F) (states/eV/f.u.) = 5.56
# - mass density (kg/m³) = 3800
# - magnetic moment (μB per formula unit) = 5.15
# - excess energy over the best structure of this formula in the dataset (meV/atom) = 319
# - E (eV/atom) = -4.124
data_KLiFe2
_chemical_formula_sum 'K1 Li1 Fe2'
_space_group_name_H-M_alt 'P 1'
_space_group_IT_number 1
_cell_length_a 3.634
_cell_length_b 3.634
_cell_length_c 5.818
_cell_angle_alpha 108.20
_cell_angle_beta 108.20
_cell_angle_gamma 90.00
loop_
_space_group_symop_operation_xyz
'x,y,z'
loop_
_atom_site_label
_atom_site_type_symbol
_atom_site_fract_x
_atom_site_fract_y
_atom_site_fract_z
Fe1 Fe 0.750 0.250 0.500
Fe2 Fe 0.250 0.750 0.500
K1 K 0.500 0.500 0.000
Li1 Li 0.000 0.000 0.000